[1]
# ZrAgAu2, optimized geometry, DFT PBE
# polymorph energy (0 for the lowest one) = 8.5 kJ/mol of formula units
# energy of formation from the pure elements = -0.37 eV/atom
# energy = -19.45 eV/f.u.
data_ZrAgAu2
_chemical_formula_sum 'Zr4 Ag4 Au8'
_space_group_name_H-M_alt 'F m -3 m'
_space_group_IT_number 225
_space_group_name_Hall '-F 4 2 3'
_cell_length_a 6.7094
_cell_length_b 6.7094
_cell_length_c 6.7094
_cell_angle_alpha 90.00
_cell_angle_beta 90.00
_cell_angle_gamma 90.00
loop_
_atom_site_label
_atom_site_fract_x
_atom_site_fract_y
_atom_site_fract_z
Zr1 0.0000 0.0000 0.0000
Ag1 0.0000 0.0000 0.5000
Au1 0.2500 0.2500 0.2500

[2]
# Cs3Cd3Ag2, optimized geometry, DFT PBE
# energy of formation from the pure elements = -0.03 eV/atom
# energy = -11.25 eV/f.u.
data_Cs3Cd3Ag2
_chemical_formula_sum 'Cs12 Cd12 Ag8'
_space_group_name_H-M_alt 'C m c m'
_space_group_IT_number 63
_space_group_name_Hall '-C 2c 2'
_cell_length_a 5.0555
_cell_length_b 13.8639
_cell_length_c 18.6253
_cell_angle_alpha 90.00
_cell_angle_beta 90.00
_cell_angle_gamma 90.00
loop_
_atom_site_label
_atom_site_fract_x
_atom_site_fract_y
_atom_site_fract_z
Cs1 0.0000 0.0524 0.1045
Cs2 0.0000 0.3656 0.2500
Cd1 0.0000 0.3110 0.0373
Cd2 0.0000 0.3335 0.7500
Ag1 0.0000 0.2365 0.6105

[3]
# DyThTc, optimized geometry, DFT PBE
# polymorph energy (0 for the lowest one) = 0.0 kJ/mol of formula units
# energy of formation from the pure elements = -0.11 eV/atom
# energy = -22.72 eV/f.u.
data_DyThTc
_chemical_formula_sum 'Dy4 Th4 Tc4'
_space_group_name_H-M_alt 'P 1 21/c 1'
_space_group_IT_number 14
_cell_length_a 6.5034
_cell_length_b 6.8962
_cell_length_c 6.8998
_cell_angle_alpha 90.00
_cell_angle_beta 95.22
_cell_angle_gamma 90.00
loop_
_space_group_symop_operation_xyz
'x,y,z'
'-x,-y,-z'
'-x,y+1/2,-z+1/2'
'x,-y+1/2,z+1/2'
loop_
_atom_site_label
_atom_site_fract_x
_atom_site_fract_y
_atom_site_fract_z
Dy1 0.0087 0.1783 0.3162
Th1 0.4989 0.1867 0.6911
Tc1 0.2594 0.9999 0.0070

[4]
# AlFeNiBi2, optimized geometry, DFT PBE
# energy of formation from the pure elements = 0.71 eV/atom
# energy = -22.19 eV/f.u.
data_AlFeNiBi2
_chemical_formula_sum 'Al1 Fe1 Ni1 Bi2'
_space_group_name_H-M_alt 'P 4/m m m'
_space_group_IT_number 123
_space_group_name_Hall '-P 4 2'
_cell_length_a 5.0680
_cell_length_b 5.0680
_cell_length_c 4.5693
_cell_angle_alpha 90.00
_cell_angle_beta 90.00
_cell_angle_gamma 90.00
loop_
_atom_site_label
_atom_site_fract_x
_atom_site_fract_y
_atom_site_fract_z
Al1 0.0000 0.0000 0.0000
Fe1 0.5000 0.5000 0.5000
Ni1 0.5000 0.5000 0.0000
Bi1 0.0000 0.5000 0.5000

[5]
# LaPrTh2Bi5, optimized geometry, DFT PBE
# energy of formation from the pure elements = 0.13 eV/atom
# energy = -42.79 eV/f.u.
data_LaPrTh2Bi5
_chemical_formula_sum 'La1 Pr1 Th2 Bi5'
_space_group_name_H-M_alt 'P 4/m m m'
_space_group_IT_number 123
_space_group_name_Hall '-P 4 2'
_cell_length_a 5.5697
_cell_length_b 5.5697
_cell_length_c 12.0524
_cell_angle_alpha 90.00
_cell_angle_beta 90.00
_cell_angle_gamma 90.00
loop_
_atom_site_label
_atom_site_fract_x
_atom_site_fract_y
_atom_site_fract_z
La1 0.0000 0.0000 0.0000
Pr1 0.0000 0.0000 0.5000
Th1 0.5000 0.5000 0.3078
Bi1 0.0000 0.0000 0.2495
Bi2 0.0000 0.5000 0.5000
Bi3 0.5000 0.5000 0.0000

[6]
# BeZnRh2, optimized geometry, DFT PBE
# polymorph energy (0 for the lowest one) = 63.4 kJ/mol of formula units
# energy of formation from the pure elements = -0.30 eV/atom
# energy = -20.90 eV/f.u.
data_BeZnRh2
_chemical_formula_sum 'Be2 Zn2 Rh4'
_space_group_name_H-M_alt 'C 1 2/m 1'
_space_group_IT_number 12
_cell_length_a 8.2172
_cell_length_b 2.7989
_cell_length_c 4.6855
_cell_angle_alpha 90.00
_cell_angle_beta 107.61
_cell_angle_gamma 90.00
loop_
_space_group_symop_operation_xyz
'x,y,z'
'-x,-y,-z'
'-x,y,-z'
'x,-y,z'
'x+1/2,y+1/2,z'
'-x+1/2,-y+1/2,-z'
'-x+1/2,y+1/2,-z'
'x+1/2,-y+1/2,z'
loop_
_atom_site_label
_atom_site_fract_x
_atom_site_fract_y
_atom_site_fract_z
Be1 0.0000 0.0000 0.0000
Zn1 0.0000 0.5000 0.5000
Rh1 0.2283 0.5000 0.2276

[7]
# Li5Pm2Ge4, optimized geometry, DFT PBE
# energy of formation from the pure elements = -0.38 eV/atom
# energy = -41.76 eV/f.u.
data_Li5Pm2Ge4
_chemical_formula_sum 'Li20 Pm8 Ge16'
_space_group_name_H-M_alt 'F m m m'
_space_group_IT_number 69
_space_group_name_Hall '-F 2 2'
_cell_length_a 5.8389
_cell_length_b 10.4521
_cell_length_c 14.7055
_cell_angle_alpha 90.00
_cell_angle_beta 90.00
_cell_angle_gamma 90.00
loop_
_atom_site_label
_atom_site_fract_x
_atom_site_fract_y
_atom_site_fract_z
Li1 0.0000 0.0000 0.0000
Li2 0.2500 0.2500 0.0000
Li3 0.2500 0.2500 0.2500
Pm1 0.0000 0.0000 0.3424
Ge1 0.0000 0.1217 0.1450

[8]
# SrHfPS2, optimized geometry, DFT PBE
# polymorph energy (0 for the lowest one) = 960.7 kJ/mol of formula units
# uncorrected formation energy = 371 kJ/mol of formula units
# energy = -21.45 eV/f.u.
data_SrHfPS2
_chemical_formula_sum 'Sr1 Hf1 P1 S2'
_space_group_name_H-M_alt 'P 4/m m m'
_space_group_IT_number 123
_space_group_name_Hall '-P 4 2'
_cell_length_a 5.1974
_cell_length_b 5.1974
_cell_length_c 5.1930
_cell_angle_alpha 90.00
_cell_angle_beta 90.00
_cell_angle_gamma 90.00
loop_
_atom_site_label
_atom_site_fract_x
_atom_site_fract_y
_atom_site_fract_z
Sr1 0.0000 0.0000 0.0000
Hf1 0.5000 0.5000 0.5000
P1 0.0000 0.0000 0.5000
S1 0.0000 0.5000 0.0000